[1]
3
Lattice="-1.965 1.965 5.119 1.965 -1.965 5.119 1.965 1.965 -5.119" Properties=species:S:1:pos:R:3 comment="AcHgPd PBE relaxed" ef_ev_per_atom=-0.5263 dos_at_fermi_per_ev_atom=0.557 magnetic_moment_mub_per_atom=0.0000 e_tot_ev_per_cell=-11.2 relative_energy_ev_per_fu=0.55 pbc="T T T"
Ac 0.000 0.000 0.000
Hg 0.000 0.000 3.192
Pd 0.000 0.000 6.741

[2]
24
Lattice="-5.476 5.476 3.711 5.476 -5.476 3.711 5.476 5.476 -3.711" Properties=species:S:1:pos:R:3 comment="AcGa9Cu2 PBE relaxed" ef_ev_per_atom=-0.1798 dos_at_fermi_per_ev_atom=0.384 magnetic_moment_mub_per_atom=0.0000 e_tot_ev_per_cell=-83.4 pbc="T T T"
Ac 5.476 2.738 0.928
Ac 0.000 2.738 2.783
Ga 5.476 -2.738 2.783
Ga 4.133 -0.554 1.354
Ga 6.818 -0.554 1.354
Ga 2.183 1.396 0.501
Ga 8.768 1.396 0.501
Ga 4.133 4.921 -1.354
Ga 1.342 -0.554 2.357
Ga 2.183 4.080 0.501
Ga 3.292 -1.396 4.213
Ga 2.183 6.871 -0.501
Ga 3.292 1.396 3.210
Ga 4.133 6.030 1.354
Ga 1.342 0.554 5.065
Ga -3.292 4.080 3.210
Ga 3.292 4.080 3.210
Ga -1.342 6.030 2.357
Ga 1.342 6.030 2.357
Ga 0.000 8.213 0.928
Cu 0.000 0.000 0.000
Cu 2.738 2.738 -1.856
Cu 2.738 -2.738 1.856
Cu 0.000 5.476 0.000

[3]
10
Lattice="-5.332 5.332 2.991 5.332 -5.332 2.991 5.332 5.332 -2.991" Properties=species:S:1:pos:R:3 comment="Tb4Pm5Tl PBE relaxed" ef_ev_per_atom=0.1486 dos_at_fermi_per_ev_atom=1.408 magnetic_moment_mub_per_atom=0.0000 e_tot_ev_per_cell=-43.2 relative_energy_ev_per_fu=1.26 pbc="T T T"
Tb 3.389 0.000 0.000
Tb 7.275 0.000 0.000
Tb 0.000 3.389 0.000
Tb 0.000 7.275 0.000
Pm 0.000 0.000 1.204
Pm 3.334 3.334 -0.079
Pm 1.998 -1.998 2.911
Pm -1.998 1.998 2.911
Pm 1.998 1.998 2.911
Tl 0.000 0.000 4.324